Entry from Alexandria: crystalline TaRe2Ag at its relaxed geometry (GGA-PBEsol).

Structure (POSCAR):
```
TaRe2Ag
1.0
2.948 0.000 0.000
0.000 3.882 0.000
0.000 0.000 5.589
Ta Re Ag
1 2 1
Direct
0.000 0.000 0.000
0.500 0.500 0.229
0.500 0.500 0.771
0.000 0.000 0.500
```

Calculated values
As for the crystal system: orthorhombic. For the raw total energy, the calculation gives -0.376 hartree per atom. The value obtained for the density of states at the Fermi level is 0.7414 states/eV/atom. The energy relative to the elements is 0.4110 eV/atom. Its energy above the most stable polymorph in this dataset is 0.027 eV per atom.